Material: ErIn2HgTe4
Method: DFT, PBE-GGA
State: optimized geometry

Geometry as POSCAR:
```
ErIn2HgTe4
1.0
7.768 0.000 0.000
0.000 4.360 0.000
-2.726 0.000 7.524
Er In Hg Te
1 2 1 4
Direct
0.000 0.000 0.000
0.500 0.000 0.500
0.500 0.500 0.000
0.000 0.500 0.500
0.241 0.500 0.229
0.249 0.000 0.765
0.751 0.000 0.235
0.759 0.500 0.771
```

Properties
density = 7219 kg/m3
volume = 31.85 Å³/atom
D(E_F) = 2.069 states/eV/f.u.
energy relative to the elements, uncorrected = -536 meV/atom
space group = P2/m